No. 1
{"formula": "CdAgAsSe2", "functional": "PBE", "state": "relaxed", "lattice": [[5.1690, 0.0000, 0.0000], [0.0000, 5.1690, 0.0000], [0.0000, 0.0000, 4.9217]], "species": ["Cd", "Ag", "As", "Se", "Se"], "fractional_positions": [[0.0000, 0.0000, 0.0000], [0.5000, 0.5000, 0.5000], [0.5000, 0.5000, 0.0000], [0.0000, 0.5000, 0.5000], [0.5000, 0.0000, 0.5000]], "raw_formation_energy_ev_per_atom": 0.61}

No. 2
{"formula": "CdAgAs2Se", "functional": "PBE", "state": "relaxed", "lattice": [[5.0186, 0.0000, 0.0000], [0.0000, 5.0186, 0.0000], [0.0000, 0.0000, 5.1754]], "species": ["Cd", "Ag", "As", "As", "Se"], "fractional_positions": [[0.0000, 0.0000, 0.0000], [0.5000, 0.5000, 0.5000], [0.0000, 0.5000, 0.5000], [0.5000, 0.0000, 0.5000], [0.5000, 0.5000, 0.0000]], "raw_formation_energy_ev_per_atom": 0.73}

No. 3
{"formula": "CdAg2SnAs", "functional": "PBE", "state": "relaxed", "lattice": [[5.2372, 0.0000, 0.0000], [0.0000, 5.2372, 0.0000], [0.0000, 0.0000, 5.4408]], "species": ["Cd", "Ag", "Ag", "Sn", "As"], "fractional_positions": [[0.0000, 0.0000, 0.0000], [0.0000, 0.5000, 0.5000], [0.5000, 0.0000, 0.5000], [0.5000, 0.5000, 0.5000], [0.5000, 0.5000, 0.0000]], "delta_e_f_ev_per_atom": 0.603}

No. 4
{"formula": "Ta2CdAgAs", "functional": "PBE", "state": "relaxed", "lattice": [[5.0228, 0.0000, 0.0000], [0.0000, 5.0228, 0.0000], [0.0000, 0.0000, 4.8770]], "species": ["Ta", "Ta", "Cd", "Ag", "As"], "fractional_positions": [[0.0000, 0.5000, 0.0000], [0.5000, 0.0000, 0.0000], [0.0000, 0.0000, 0.5000], [0.5000, 0.5000, 0.0000], [0.5000, 0.5000, 0.5000]], "delta_e_f_ev_per_atom": 1.755}

No. 5
{"formula": "CeAgAs", "functional": "PBE", "state": "relaxed", "lattice": [[8.5799, 0.0000, 0.0000], [0.0000, 2.7910, 2.8169], [0.0000, -2.7910, 2.8169]], "species": ["Ce", "Ce", "Ag", "Ag", "As", "As"], "fractional_positions": [[0.1594, 0.0000, 0.0000], [0.8406, 0.0000, 0.0000], [0.3428, 0.5023, 0.5023], [0.6572, 0.5023, 0.5023], [0.0000, 0.5018, 0.5018], [0.5000, 0.0425, 0.0425]], "delta_e_f_ev_per_atom": -0.464}

No. 6
{"formula": "CeAgAs2", "functional": "PBE", "state": "relaxed", "lattice": [[4.0877, 0.0000, 0.0000], [0.0000, 4.0877, 0.0000], [0.0000, 0.0000, 10.2392]], "species": ["Ce", "Ce", "Ag", "Ag", "As", "As", "As", "As"], "fractional_positions": [[0.2500, 0.2500, 0.2236], [0.7500, 0.7500, 0.7764], [0.2500, 0.7500, 0.5000], [0.7500, 0.2500, 0.5000], [0.2500, 0.2500, 0.6865], [0.2500, 0.7500, 0.0000], [0.7500, 0.2500, 0.0000], [0.7500, 0.7500, 0.3135]], "delta_e_f_ev_per_atom": -0.782}

No. 7
{"formula": "CeAgAs2", "functional": "PBE", "state": "relaxed", "lattice": [[2.2302, 1.2876, 7.5928], [-2.2302, 1.2876, 7.5928], [0.0000, -2.5752, 7.5928]], "species": ["Ce", "Ag", "As", "As"], "fractional_positions": [[0.0000, 0.0000, 0.0000], [0.5000, 0.5000, 0.5000], [0.3913, 0.3913, 0.3913], [0.6087, 0.6087, 0.6087]], "delta_e_f_ev_per_atom": -0.250}

No. 8
{"formula": "CeAgAs2", "functional": "PBE", "state": "relaxed", "lattice": [[4.6350, 0.0000, 0.0000], [0.0000, 4.6350, 0.0000], [0.0000, 0.0000, 3.8901]], "species": ["Ce", "Ag", "As", "As"], "fractional_positions": [[0.0000, 0.0000, 0.0000], [0.5000, 0.5000, 0.0000], [0.0000, 0.5000, 0.5000], [0.5000, 0.0000, 0.5000]], "delta_e_f_ev_per_atom": -0.658}